DFT (GGA-PBE) results for a relaxed structure of Ho7Er6.

- V (Å³/cell) = 417.0
- magnetic moment (μB/f.u.) = 0.32
- calculated total energy (eV per cell) = -55.98
- density (g cm⁻³) = 8.6
- SG = R-3m (166)
- formation energy (eV/atom) = 0.2647

POSCAR file:
```
Ho7Er6
1.0
3.226 1.863 11.563
-3.226 1.863 11.563
0.000 -3.726 11.563
Ho Er
7 6
Direct
0.000 0.000 0.000
0.091 0.091 0.585
0.091 0.585 0.091
0.415 0.909 0.909
0.585 0.091 0.091
0.909 0.415 0.909
0.909 0.909 0.415
0.167 0.167 0.167
0.352 0.352 0.352
0.454 0.454 0.454
0.546 0.546 0.546
0.648 0.648 0.648
0.833 0.833 0.833
```

***

DFT (GGA-PBE) results for a relaxed structure of Ho8Er3.

- V (Å³/cell) = 352.7
- magnetic moment (μB/f.u.) = 0.00
- calculated total energy (eV per cell) = -43.95
- density (g cm⁻³) = 8.6
- SG = R-3 (148)
- formation energy (eV/atom) = 0.5784

POSCAR file:
```
Ho8Er3
1.0
4.737 2.735 4.538
-4.737 2.735 4.538
0.000 -5.470 4.538
Ho Er
8 3
Direct
0.111 0.111 0.111
0.197 0.344 0.621
0.344 0.621 0.197
0.379 0.803 0.656
0.621 0.197 0.344
0.656 0.379 0.803
0.803 0.656 0.379
0.889 0.889 0.889
0.000 0.000 0.500
0.000 0.500 0.000
0.500 0.000 0.000
```

***

DFT (GGA-PBE) results for a relaxed structure of Ho13Er3.

- V (Å³/cell) = 489.5
- magnetic moment (μB/f.u.) = 0.00
- calculated total energy (eV per cell) = -72.92
- density (g cm⁻³) = 9.0
- SG = Amm2 (38)
- formation energy (eV/atom) = 0.0174

POSCAR file:
```
Ho13Er3
1.0
9.924 0.000 0.000
0.000 4.966 4.966
0.000 -4.966 4.966
Ho Er
13 3
Direct
0.000 0.000 0.000
0.000 0.000 0.500
0.000 0.500 0.000
0.000 0.500 0.500
0.250 0.250 0.250
0.250 0.250 0.750
0.250 0.750 0.250
0.500 0.000 0.000
0.500 0.000 0.500
0.500 0.500 0.000
0.750 0.250 0.250
0.750 0.250 0.750
0.750 0.750 0.250
0.250 0.750 0.750
0.500 0.500 0.500
0.750 0.750 0.750
```

***

DFT (GGA-PBE) results for a relaxed structure of Ho7Er3.

- V (Å³/cell) = 625.6
- magnetic moment (μB/f.u.) = 0.29
- calculated total energy (eV per cell) = -87.40
- density (g cm⁻³) = 8.8
- SG = P6_3mc (186)
- formation energy (eV/atom) = 0.2031

POSCAR file:
```
Ho7Er3
1.0
10.715 0.000 0.000
-5.357 9.279 0.000
0.000 0.000 6.293
Ho Er
14 6
Direct
0.059 0.529 0.000
0.119 0.238 0.157
0.119 0.881 0.157
0.238 0.119 0.657
0.333 0.667 0.281
0.471 0.529 0.000
0.471 0.941 0.000
0.529 0.059 0.500
0.529 0.471 0.500
0.667 0.333 0.781
0.762 0.881 0.157
0.881 0.119 0.657
0.881 0.762 0.657
0.941 0.471 0.500
0.210 0.421 0.643
0.210 0.790 0.643
0.421 0.210 0.143
0.579 0.790 0.643
0.790 0.210 0.143
0.790 0.579 0.143
```

***

DFT (GGA-PBE) results for a relaxed structure of Ho5Er7.

- V (Å³/cell) = 365.5
- magnetic moment (μB/f.u.) = 0.00
- calculated total energy (eV per cell) = -54.77
- density (g cm⁻³) = 9.1
- SG = C2/m (12)
- formation energy (eV/atom) = 0.0050

POSCAR file:
```
Ho5Er7
1.0
9.146 -1.759 0.000
9.146 1.759 0.000
-6.104 0.000 11.363
Ho Er
5 7
Direct
0.000 0.000 0.000
0.167 0.167 0.500
0.306 0.306 0.250
0.694 0.694 0.750
0.833 0.833 0.500
0.028 0.028 0.750
0.333 0.333 0.000
0.361 0.361 0.750
0.500 0.500 0.500
0.639 0.639 0.250
0.667 0.667 0.000
0.972 0.972 0.250
```

***

DFT (GGA-PBE) results for a relaxed structure of Ho8Er.

- V (Å³/cell) = 275.9
- magnetic moment (μB/f.u.) = 0.00
- calculated total energy (eV per cell) = -41.00
- density (g cm⁻³) = 8.9
- SG = I4/mmm (139)
- formation energy (eV/atom) = 0.0211

POSCAR file:
```
Ho8Er
1.0
-5.273 5.273 2.481
5.273 -5.273 2.481
5.273 5.273 -2.481
Ho Er
8 1
Direct
0.000 0.333 0.333
0.000 0.667 0.667
0.333 0.000 0.333
0.333 0.333 0.667
0.333 0.667 0.000
0.667 0.000 0.667
0.667 0.333 0.000
0.667 0.667 0.333
0.000 0.000 0.000
```

***

DFT (GGA-PBE) results for a relaxed structure of Ho3Er4.

- V (Å³/cell) = 426.1
- magnetic moment (μB/f.u.) = 0.00
- calculated total energy (eV per cell) = -63.67
- density (g cm⁻³) = 9.1
- SG = Immm (71)
- formation energy (eV/atom) = 0.0217

POSCAR file:
```
Ho3Er4
1.0
3.500 0.000 0.000
0.000 4.958 0.000
0.000 0.000 24.556
Ho Er
6 8
Direct
0.000 0.000 0.000
0.000 0.000 0.143
0.000 0.000 0.857
0.500 0.500 0.357
0.500 0.500 0.500
0.500 0.500 0.643
0.000 0.000 0.286
0.000 0.000 0.429
0.000 0.000 0.571
0.000 0.000 0.714
0.500 0.500 0.071
0.500 0.500 0.214
0.500 0.500 0.786
0.500 0.500 0.929
```

***

DFT (GGA-PBE) results for a relaxed structure of Ho3Er7.

- V (Å³/cell) = 621.8
- magnetic moment (μB/f.u.) = 0.00
- calculated total energy (eV per cell) = -87.32
- density (g cm⁻³) = 8.9
- SG = P6_3mc (186)
- formation energy (eV/atom) = 0.2015

POSCAR file:
```
Ho3Er7
1.0
10.658 0.000 0.000
-5.329 9.230 0.000
0.000 0.000 6.321
Ho Er
6 14
Direct
0.208 0.416 0.000
0.208 0.792 0.000
0.416 0.208 0.500
0.584 0.792 0.000
0.792 0.208 0.500
0.792 0.584 0.500
0.059 0.529 0.650
0.120 0.240 0.483
0.120 0.880 0.483
0.240 0.120 0.983
0.333 0.667 0.355
0.471 0.529 0.650
0.471 0.941 0.650
0.529 0.059 0.150
0.529 0.471 0.150
0.667 0.333 0.855
0.760 0.880 0.483
0.880 0.120 0.983
0.880 0.760 0.983
0.941 0.471 0.150
```

***

DFT (GGA-PBE) results for a relaxed structure of Ho2Er.

- V (Å³/cell) = 366.5
- magnetic moment (μB/f.u.) = 0.00
- calculated total energy (eV per cell) = -54.62
- density (g cm⁻³) = 9.0
- SG = C2/m (12)
- formation energy (eV/atom) = 0.0214

POSCAR file:
```
Ho2Er
1.0
11.102 0.000 0.000
0.000 4.962 0.000
-2.228 0.000 6.653
Ho Er
8 4
Direct
0.000 0.000 0.250
0.000 0.000 0.750
0.167 0.500 0.083
0.333 0.000 0.917
0.500 0.500 0.250
0.500 0.500 0.750
0.667 0.000 0.083
0.833 0.500 0.917
0.167 0.500 0.583
0.333 0.000 0.417
0.667 0.000 0.583
0.833 0.500 0.417
```

***

DFT (GGA-PBE) results for a relaxed structure of HoEr4.

- V (Å³/cell) = 331.0
- magnetic moment (μB/f.u.) = 0.00
- calculated total energy (eV per cell) = -41.19
- density (g cm⁻³) = 8.4
- SG = I4_1/amd (141)
- formation energy (eV/atom) = 0.4473

POSCAR file:
```
HoEr4
1.0
-4.601 4.601 3.910
4.601 -4.601 3.910
4.601 4.601 -3.910
Ho Er
2 8
Direct
0.375 0.625 0.750
0.625 0.375 0.250
0.163 0.728 0.435
0.206 0.272 0.935
0.272 0.206 0.435
0.272 0.837 0.065
0.728 0.163 0.935
0.728 0.794 0.565
0.794 0.728 0.065
0.837 0.272 0.565
```

***

DFT (GGA-PBE) results for a relaxed structure of Ho5Er6.

- V (Å³/cell) = 343.0
- magnetic moment (μB/f.u.) = 0.00
- calculated total energy (eV per cell) = -48.69
- density (g cm⁻³) = 8.9
- SG = C2/m (12)
- formation energy (eV/atom) = 0.1430

POSCAR file:
```
Ho5Er6
1.0
4.492 -6.425 0.000
4.492 6.425 0.000
-1.859 0.000 5.941
Ho Er
5 6
Direct
0.000 0.000 0.000
0.129 0.871 0.500
0.259 0.741 0.000
0.741 0.259 0.000
0.871 0.129 0.500
0.189 0.453 0.330
0.334 0.334 0.814
0.453 0.189 0.330
0.547 0.811 0.670
0.666 0.666 0.186
0.811 0.547 0.670
```

***

DFT (GGA-PBE) results for a relaxed structure of Ho2Er.

- V (Å³/cell) = 193.3
- magnetic moment (μB/f.u.) = 0.03
- calculated total energy (eV per cell) = -25.86
- density (g cm⁻³) = 8.5
- SG = Fd-3m (227)
- formation energy (eV/atom) = 0.2634

POSCAR file:
```
Ho2Er
1.0
0.000 4.589 4.589
4.589 0.000 4.589
4.589 4.589 0.000
Ho Er
4 2
Direct
0.000 0.000 0.000
0.000 0.000 0.500
0.000 0.500 0.000
0.500 0.000 0.000
0.375 0.375 0.375
0.625 0.625 0.625
```